No. 1
Density functional theory data (PBE-GGA) for crystalline AgSnAu4 at its relaxed geometry.

Its total energy is -3.382 eV/atom.

The space group is P-1 (No. 2) and the conventional cell measures 5.121, 5.143 and 5.180 Å, with angles of 60.71, 81.16 and 72.75 degrees. The asymmetric unit holds Ag at (0.000, 0.000, 0.000), Sn at (0.500, 0.500, 0.000), Au at (0.000, 0.331, 0.337) and Au at (0.500, 0.164, 0.671).

No. 2
Density functional theory data (PBE-GGA) for crystalline Ag4SnAu5 at its relaxed geometry.

Its total energy is -3.075 eV/atom.

The space group is I4 (No. 79) and the conventional cell measures 8.697, 8.697 and 5.365 Å, with angles of 90.00, 90.00 and 90.00 degrees. The asymmetric unit holds Ag at (0.068, 0.348, 0.000), Sn at (0.000, 0.000, 0.259), Au at (0.000, 0.000, 0.780) and Au at (0.131, 0.253, 0.502).

No. 3
Density functional theory data (PBE-GGA) for crystalline Ag5Sn2Au12 at its relaxed geometry.

Its total energy is -3.259 eV/atom.

The space group is C2/m (No. 12) and the conventional cell measures 15.689, 9.665 and 4.959 Å, with angles of 90.00, 104.48 and 90.00 degrees. The asymmetric unit holds Ag at (0.000, 0.000, 0.000), Ag at (0.200, 0.000, 0.116), Ag at (0.200, 0.500, 0.318), Sn at (0.000, 0.264, 0.500), Au at (0.098, 0.000, 0.559), Au at (0.099, 0.256, 0.102), Au at (0.099, 0.500, 0.742) and Au at (0.203, 0.249, 0.704).

No. 4
Density functional theory data (PBE-GGA) for crystalline Ag5SnAu8 at its relaxed geometry.

Its total energy is -3.128 eV/atom.

The space group is I-4 (No. 82) and the conventional cell measures 8.222, 8.222 and 8.104 Å, with angles of 90.00, 90.00 and 90.00 degrees. The asymmetric unit holds Ag at (0.000, 0.000, 0.000), Ag at (0.104, 0.808, 0.408), Sn at (0.000, 0.500, 0.750), Au at (0.061, 0.664, 0.082) and Au at (0.122, 0.810, 0.752).

Result set for E_form: -0.06; 0.10; -0.02; 0.05 eV/atom, one per record in the order listed.